Entry from OQMD via LeMat-Bulk: an optimized crystal structure of TbGdNb2Si2 (PBE-GGA).

Computed properties:
Crystal system   tetragonal
DFT total energy   -44.05 eV per cell
Spin magnetization   1.12 μB/f.u.

abc: 4.0141 4.0141 7.8541
angles: 90.00 90.00 90.00
With the nearest neighbours (Å) after each atom.
Fractional positions:
Tb  0.0000  0.0000  0.0000  5 Si 2.98-3.22
Gd  0.5000  0.5000  0.7068  5 Si 2.98-3.21
Nb  0.0000  0.5000  0.3525  4 Si 2.74, 4 Nb 2.84
Nb  0.5000  0.0000  0.3525  4 Si 2.74, 4 Nb 2.84
Si  0.0000  0.0000  0.5894  4 Nb 2.74, 4 Gd 2.98
Si  0.5000  0.5000  0.1155  4 Nb 2.74, 4 Tb 2.98

---

Entry from OQMD via LeMat-Bulk: an optimized crystal structure of SmGdNb (PBE-GGA).

Computed properties:
Crystal system   cubic
Relative energy among the computed polymorphs   0 meV per atom
Formation energy   0.80 eV per atom
Spin magnetization   2.07 μB/f.u.

abc: 5.1115 5.1115 5.1115
angles: 60.00 60.00 60.00
With the nearest neighbours (Å) after each atom.
Fractional positions:
Sm  0.0000  0.0000  0.0000  4 Nb 3.13
Gd  0.5000  0.5000  0.5000  4 Nb 3.13
Nb  0.7500  0.7500  0.7500  4 Gd 3.13, 4 Sm 3.13

---

Entry from OQMD via LeMat-Bulk: an optimized crystal structure of GdTaNb (PBE-GGA).

Computed properties:
Crystal system   cubic
Relative energy among the computed polymorphs   0 meV per atom
Formation energy   0.89 eV per atom
Spin magnetization   0.00 μB/f.u.

abc: 4.6903 4.6903 4.6903
angles: 60.00 60.00 60.00
With the nearest neighbours (Å) after each atom.
Fractional positions:
Gd  0.0000  0.0000  0.0000  4 Nb 2.87
Ta  0.5000  0.5000  0.5000  4 Nb 2.87
Nb  0.2500  0.2500  0.2500  4 Ta 2.87, 4 Gd 2.87

---

Entry from OQMD via LeMat-Bulk: an optimized crystal structure of GdTaNb (PBE-GGA).

Computed properties:
Crystal system   cubic
Relative energy among the computed polymorphs   737 meV per atom
Formation energy   1.63 eV per atom
Spin magnetization   0.02 μB/f.u.

abc: 4.6768 4.6768 4.6768
angles: 60.00 60.00 60.00
With the nearest neighbours (Å) after each atom.
Fractional positions:
Gd  0.0000  0.0000  0.0000  4 Nb 2.86, 4 Ta 2.86
Ta  0.2500  0.2500  0.2500  4 Gd 2.86
Nb  0.7500  0.7500  0.7500  4 Gd 2.86

---

Entry from OQMD via LeMat-Bulk: an optimized crystal structure of TbGdNb (PBE-GGA).

Computed properties:
Crystal system   cubic
Formation energy   0.80 eV per atom
Spin magnetization   2.05 μB/f.u.

abc: 5.0773 5.0773 5.0773
angles: 60.00 60.00 60.00
With the nearest neighbours (Å) after each atom.
Fractional positions:
Tb  0.0000  0.0000  0.0000  4 Nb 3.11
Gd  0.5000  0.5000  0.5000  4 Nb 3.11
Nb  0.7500  0.7500  0.7500  4 Gd 3.11, 4 Tb 3.11

---

Entry from OQMD via LeMat-Bulk: an optimized crystal structure of GdThNb (PBE-GGA).

Computed properties:
Crystal system   cubic
Formation energy   0.60 eV per atom
Spin magnetization   0.00 μB/f.u.

abc: 4.9915 4.9915 4.9915
angles: 60.00 60.00 60.00
With the nearest neighbours (Å) after each atom.
Fractional positions:
Gd  0.0000  0.0000  0.0000  4 Nb 3.06
Th  0.5000  0.5000  0.5000  4 Nb 3.06
Nb  0.2500  0.2500  0.2500  4 Th 3.06, 4 Gd 3.06

---

Entry from OQMD via LeMat-Bulk: an optimized crystal structure of GdTmNb (PBE-GGA).

Computed properties:
Crystal system   cubic
Relative energy among the computed polymorphs   0 meV per atom
Formation energy   0.80 eV per atom
Spin magnetization   2.06 μB/f.u.

abc: 5.0498 5.0498 5.0498
angles: 60.00 60.00 60.00
With the nearest neighbours (Å) after each atom.
Fractional positions:
Gd  0.0000  0.0000  0.0000  4 Nb 3.09
Tm  0.5000  0.5000  0.5000  4 Nb 3.09
Nb  0.2500  0.2500  0.2500  4 Gd 3.09, 4 Tm 3.09

---

Entry from OQMD via LeMat-Bulk: an optimized crystal structure of GdNbW (PBE-GGA).

Computed properties:
Crystal system   cubic
Relative energy among the computed polymorphs   867 meV per atom
Formation energy   1.83 eV per atom
Spin magnetization   0.02 μB/f.u.

abc: 4.6096 4.6096 4.6096
angles: 60.00 60.00 60.00
With the nearest neighbours (Å) after each atom.
Fractional positions:
Gd  0.0000  0.0000  0.0000  4 Nb 2.82, 4 W 2.82
Nb  0.7500  0.7500  0.7500  4 Gd 2.82
W  0.2500  0.2500  0.2500  4 Gd 2.82